one:
Material: ZnTe2IF
Method: DFT, PBE
State: relaxed

Summary:
**Magnetic moment**: 0.0 μB per formula unit
**Density of states at the Fermi level**: 1.22 states/eV per atom

a b c (Å): 5.2693 5.2693 5.4460
angles (deg): 90.00 90.00 90.00
Space group P4/mmm (No. 123)
Symmetry-distinct sites (fractional):
Zn (0.0000, 0.0000, 0.0000) [1 per cell]
Te (0.0000, 0.5000, 0.0000) [2 per cell]
I (0.0000, 0.0000, 0.5000) [1 per cell]
F (0.5000, 0.5000, 0.5000) [1 per cell]


two:
Material: ZnTe2IF
Method: DFT, PBE
State: relaxed

Summary:
**Magnetic moment**: 0.0 μB per formula unit
**Density of states at the Fermi level**: 0.89 states/eV per atom

a b c (Å): 4.6134 4.6134 7.6391
angles (deg): 90.00 90.00 90.00
Space group P4/mmm (No. 123)
Symmetry-distinct sites (fractional):
Zn (0.0000, 0.0000, 0.0000) [1 per cell]
Te (0.0000, 0.5000, 0.5000) [2 per cell]
I (0.5000, 0.5000, 0.0000) [1 per cell]
F (0.5000, 0.5000, 0.5000) [1 per cell]


The most stable arrangement is two, and the next structure is 0.160 eV/atom less stable.


one:
Material: ZnTeI2F
Method: DFT, PBE
State: relaxed

Summary:
**Magnetic moment**: 0.0 μB per formula unit
**Density of states at the Fermi level**: 0.95 states/eV per atom

a b c (Å): 5.9984 5.9984 4.2331
angles (deg): 90.00 90.00 90.00
Space group P4/mmm (No. 123)
Symmetry-distinct sites (fractional):
Zn (0.0000, 0.0000, 0.0000) [1 per cell]
Te (0.5000, 0.5000, 0.0000) [1 per cell]
I (0.0000, 0.5000, 0.5000) [2 per cell]
F (0.5000, 0.5000, 0.5000) [1 per cell]


two:
Material: ZnTeI2F
Method: DFT, PBE
State: relaxed

Summary:
**Magnetic moment**: 1.4 μB per formula unit
**Density of states at the Fermi level**: 1.85 states/eV per atom

a b c (Å): 5.4739 5.4739 5.3822
angles (deg): 90.00 90.00 90.00
Space group P4/mmm (No. 123)
Symmetry-distinct sites (fractional):
Zn (0.0000, 0.0000, 0.0000) [1 per cell]
Te (0.0000, 0.0000, 0.5000) [1 per cell]
I (0.0000, 0.5000, 0.0000) [2 per cell]
F (0.5000, 0.5000, 0.5000) [1 per cell]


The most stable arrangement is one, and the next structure is 0.097 eV/atom less stable.


one:
Material: Ti3IF
Method: DFT, PBE
State: relaxed

Summary:
**Magnetic moment**: 6.4 μB per formula unit
**Density of states at the Fermi level**: 1.55 states/eV per atom

a b c (Å): 5.1171 5.1171 5.1171
angles (deg): 90.00 90.00 90.00
Space group Pm-3m (No. 221)
Symmetry-distinct sites (fractional):
Ti (0.0000, 0.0000, 0.5000) [3 per cell]
I (0.0000, 0.0000, 0.0000) [1 per cell]
F (0.5000, 0.5000, 0.5000) [1 per cell]


two:
Material: Ti3IF
Method: DFT, PBE
State: relaxed

Summary:
**Magnetic moment**: 0.0 μB per formula unit
**Density of states at the Fermi level**: 0.78 states/eV per atom

a b c (Å): 4.3017 4.3017 4.3017
angles (deg): 90.00 90.00 90.00
Space group Pm-3m (No. 221)
Symmetry-distinct sites (fractional):
Ti (0.0000, 0.0000, 0.5000) [3 per cell]
I (0.5000, 0.5000, 0.5000) [1 per cell]
F (0.0000, 0.0000, 0.0000) [1 per cell]


The most stable arrangement is two, and the next structure is 1.207 eV/atom less stable.


one:
Material: TiIF2
Method: DFT, PBE
State: relaxed

Summary:
**Magnetic moment**: 1.0 μB per formula unit
**Density of states at the Fermi level**: 0.94 states/eV per atom

a b c (Å): 6.2346 6.2346 8.9943
angles (deg): 90.00 90.00 90.00
Space group I4_1/amd (No. 141, origin choice 2)
Symmetry-distinct sites (fractional):
Ti (0.0000, 0.2500, 0.3750) [4 per cell]
I (0.0000, 0.2500, 0.8750) [4 per cell]
F (0.0000, 0.0000, 0.5000) [8 per cell]


two:
Material: TiIF2
Method: DFT, PBE
State: relaxed

Summary:
**Magnetic moment**: 1.7 μB per formula unit
**Density of states at the Fermi level**: 0.95 states/eV per atom

a b c (Å): 3.4161 3.4161 26.9058
angles (deg): 90.00 90.00 120.00
Space group R-3m (No. 166, hexagonal axes)
Symmetry-distinct sites (fractional):
Ti (0.0000, 0.0000, 0.0000) [3 per cell]
I (0.0000, 0.0000, 0.5000) [3 per cell]
F (0.0000, 0.0000, 0.3653) [6 per cell]


three:
Material: TiIF2
Method: DFT, PBE
State: relaxed

Summary:
**Magnetic moment**: 1.0 μB per formula unit
**Density of states at the Fermi level**: 0.79 states/eV per atom

a b c (Å): 6.3404 6.3404 6.3404
angles (deg): 90.00 90.00 90.00
Space group Fm-3m (No. 225)
Symmetry-distinct sites (fractional):
Ti (0.0000, 0.0000, 0.0000) [4 per cell]
I (0.0000, 0.0000, 0.5000) [4 per cell]
F (0.2500, 0.2500, 0.2500) [8 per cell]


The most stable arrangement is one, and the next structure is 0.177 eV/atom less stable.


one:
Material: TlIF
Method: DFT, PBE
State: relaxed

Summary:
**Magnetic moment**: 0.0 μB per formula unit
**Density of states at the Fermi level**: 0.79 states/eV per atom

a b c (Å): 19.3038 4.0369 5.7219
angles (deg): 90.00 98.59 90.00
Space group C2/m (No. 12)
Symmetry-distinct sites (fractional):
Tl (0.1909, 0.0000, 0.2473) [4 per cell]
I (0.0152, 0.5000, 0.7577) [4 per cell]
F (0.2304, 0.0000, 0.6960) [4 per cell]


two:
Material: TlIF
Method: DFT, PBE
State: relaxed

Summary:
**Magnetic moment**: 0.0 μB per formula unit
**Density of states at the Fermi level**: 0.62 states/eV per atom

a b c (Å): 4.3803 4.3803 4.6337
angles (deg): 90.00 90.00 120.00
Space group P-6m2 (No. 187)
Symmetry-distinct sites (fractional):
Tl (0.0000, 0.0000, 0.0000) [1 per cell]
I (0.6667, 0.3333, 0.5000) [1 per cell]
F (0.3333, 0.6667, 0.0000) [1 per cell]


three:
Material: TlIF
Method: DFT, PBE
State: relaxed

Summary:
**Magnetic moment**: 0.0 μB per formula unit
**Density of states at the Fermi level**: 0.00 states/eV per atom

a b c (Å): 7.5575 7.4078 7.5373
angles (deg): 90.00 111.15 90.00
Space group P2_1/c (No. 14)
Symmetry-distinct sites (fractional):
Tl (0.1750, 0.1135, 0.3924) [4 per cell]
I (0.3396, 0.6020, 0.4800) [4 per cell]
F (0.0293, 0.7095, 0.9150) [4 per cell]


The most stable arrangement is three, and the next structure is 0.033 eV/atom less stable.


one:
Material: TlI2F
Method: DFT, PBE
State: relaxed

Summary:
**Magnetic moment**: 0.0 μB per formula unit
**Density of states at the Fermi level**: 0.00 states/eV per atom

a b c (Å): 7.7267 7.7267 8.4266
angles (deg): 90.00 90.00 90.00
Space group I-42d (No. 122)
Symmetry-distinct sites (fractional):
Tl (0.0000, 0.0000, 0.0000) [4 per cell]
I (0.2453, 0.2500, 0.6250) [8 per cell]
F (0.0000, 0.0000, 0.5000) [4 per cell]


two:
Material: TlI2F
Method: DFT, PBE
State: relaxed

Summary:
**Magnetic moment**: 0.7 μB per formula unit
**Density of states at the Fermi level**: 1.57 states/eV per atom

a b c (Å): 7.6396 7.6396 7.6396
angles (deg): 90.00 90.00 90.00
Space group Fm-3m (No. 225)
Symmetry-distinct sites (fractional):
Tl (0.0000, 0.0000, 0.0000) [4 per cell]
I (0.2500, 0.2500, 0.2500) [8 per cell]
F (0.0000, 0.0000, 0.5000) [4 per cell]


The most stable arrangement is one, and the next structure is 0.124 eV/atom less stable.


one:
Material: TlIF2
Method: DFT, PBE
State: relaxed

Summary:
**Magnetic moment**: 1.2 μB per formula unit
**Density of states at the Fermi level**: 0.48 states/eV per atom

a b c (Å): 3.4324 3.4324 26.6320
angles (deg): 90.00 90.00 120.00
Space group R-3m (No. 166, hexagonal axes)
Symmetry-distinct sites (fractional):
Tl (0.0000, 0.0000, 0.0000) [3 per cell]
I (0.0000, 0.0000, 0.5000) [3 per cell]
F (0.0000, 0.0000, 0.0894) [6 per cell]


two:
Material: TlIF2
Method: DFT, PBE
State: relaxed

Summary:
**Magnetic moment**: 0.3 μB per formula unit
**Density of states at the Fermi level**: 1.01 states/eV per atom

a b c (Å): 5.4932 5.4932 13.9123
angles (deg): 90.00 90.00 90.00
Space group I-42d (No. 122)
Symmetry-distinct sites (fractional):
Tl (0.0000, 0.0000, 0.0000) [4 per cell]
I (0.0000, 0.0000, 0.5000) [4 per cell]
F (0.0045, 0.2500, 0.1250) [8 per cell]


three:
Material: TlIF2
Method: DFT, PBE
State: relaxed

Summary:
**Magnetic moment**: 0.0 μB per formula unit

a b c (Å): 5.8798 6.7423 12.8309
angles (deg): 90.00 117.24 90.00
Space group P2_1/c (No. 14)
Symmetry-distinct sites (fractional):
Tl (0.1568, 0.9999, 0.4067) [4 per cell]
I (0.2625, 0.2491, 0.2496) [4 per cell]
F (0.1336, 0.6668, 0.0557) [4 per cell]
F (0.4774, 0.1670, 0.5555) [4 per cell]


The most stable arrangement is three, and the next structure is 0.319 eV/atom less stable.